LiBe5 | meta-GGA SCAN | PBEsol geometry

The structure in CIF format:
```
data_LiBe5
_chemical_formula_sum 'Li1 Be5'
_symmetry_space_group_name_H-M 'P 6/m m m'
_symmetry_Int_Tables_number 191
_symmetry_space_group_name_Hall '-P 6 2'
_cell_length_a 4.2609
_cell_length_b 4.2609
_cell_length_c 3.5769
_cell_angle_alpha 90.00
_cell_angle_beta 90.00
_cell_angle_gamma 120.00
loop_
_atom_site_label
_atom_site_type_symbol
_atom_site_fract_x
_atom_site_fract_y
_atom_site_fract_z
Li1 Li 0.0000 0.0000 0.0000
Be1 Be 0.0000 0.5000 0.5000
Be2 Be 0.3333 0.6667 0.0000
```

energy of formation: 0.0458 eV per atom
total moment: 0.000 μB/cell
mass density: 1.5 g cm⁻³

---

LiBe2 | meta-GGA SCAN | PBEsol geometry

The structure in CIF format:
```
data_LiBe2
_chemical_formula_sum 'Li1 Be2'
_symmetry_space_group_name_H-M 'P -3 m 1'
_symmetry_Int_Tables_number 164
_symmetry_space_group_name_Hall '-P 3 2"'
_cell_length_a 2.3237
_cell_length_b 2.3237
_cell_length_c 6.0974
_cell_angle_alpha 90.00
_cell_angle_beta 90.00
_cell_angle_gamma 120.00
loop_
_atom_site_label
_atom_site_type_symbol
_atom_site_fract_x
_atom_site_fract_y
_atom_site_fract_z
Li1 Li 0.0000 0.0000 0.0000
Be1 Be 0.3333 0.6667 0.3507
```

E above lowest polymorph: 0.07 eV/f.u.
energy of formation: 0.2029 eV per atom
total moment: 0.001 μB/cell
mass density: 1.5 g cm⁻³

---

Li2Be | meta-GGA SCAN | PBEsol geometry

The structure in CIF format:
```
data_Li2Be
_chemical_formula_sum 'Li4 Be2'
_symmetry_space_group_name_H-M 'P 63/m m c'
_symmetry_Int_Tables_number 194
_symmetry_space_group_name_Hall '-P 6c 2c'
_cell_length_a 4.3277
_cell_length_b 4.3277
_cell_length_c 4.9558
_cell_angle_alpha 90.00
_cell_angle_beta 90.00
_cell_angle_gamma 120.00
loop_
_atom_site_label
_atom_site_type_symbol
_atom_site_fract_x
_atom_site_fract_y
_atom_site_fract_z
Li1 Li 0.0000 0.0000 0.0000
Li2 Li 0.3333 0.6667 0.2500
Be1 Be 0.3333 0.6667 0.7500
```

E above lowest polymorph: 0.48 eV/f.u.
energy of formation: 0.3601 eV per atom
total moment: 0.096 μB/cell
mass density: 0.9 g cm⁻³

---

Li2Be | meta-GGA SCAN | PBEsol geometry

The structure in CIF format:
```
data_Li2Be
_chemical_formula_sum 'Li8 Be4'
_symmetry_space_group_name_H-M 'C m c m'
_symmetry_Int_Tables_number 63
_symmetry_space_group_name_Hall '-C 2c 2'
_cell_length_a 4.3617
_cell_length_b 8.9972
_cell_length_c 4.0702
_cell_angle_alpha 90.00
_cell_angle_beta 90.00
_cell_angle_gamma 90.00
loop_
_atom_site_label
_atom_site_type_symbol
_atom_site_fract_x
_atom_site_fract_y
_atom_site_fract_z
Li1 Li 0.0000 0.0808 0.2500
Li2 Li 0.0000 0.2596 0.7500
Be1 Be 0.0000 0.4519 0.2500
```

E above lowest polymorph: 0.00 eV/f.u.
energy of formation: 0.2004 eV per atom
total moment: 0.000 μB/cell
mass density: 1.0 g cm⁻³

---

LiBe2 | meta-GGA SCAN | PBEsol geometry

The structure in CIF format:
```
data_LiBe2
_chemical_formula_sum 'Li2 Be4'
_symmetry_space_group_name_H-M 'I 4/m m m'
_symmetry_Int_Tables_number 139
_symmetry_space_group_name_Hall '-I 4 2'
_cell_length_a 2.6504
_cell_length_b 2.6504
_cell_length_c 8.3968
_cell_angle_alpha 90.00
_cell_angle_beta 90.00
_cell_angle_gamma 90.00
loop_
_atom_site_label
_atom_site_type_symbol
_atom_site_fract_x
_atom_site_fract_y
_atom_site_fract_z
Li1 Li 0.0000 0.0000 0.0000
Be1 Be 0.0000 0.0000 0.3092
```

E above lowest polymorph: 0.00 eV/f.u.
energy of formation: 0.1793 eV per atom
total moment: 0.000 μB/cell
mass density: 1.4 g cm⁻³

---

LiBe2 | meta-GGA SCAN | PBEsol geometry

The structure in CIF format:
```
data_LiBe2
_chemical_formula_sum 'Li2 Be4'
_symmetry_space_group_name_H-M 'I 4/m m m'
_symmetry_Int_Tables_number 139
_symmetry_space_group_name_Hall '-I 4 2'
_cell_length_a 4.2940
_cell_length_b 4.2940
_cell_length_c 4.1946
_cell_angle_alpha 90.00
_cell_angle_beta 90.00
_cell_angle_gamma 90.00
loop_
_atom_site_label
_atom_site_type_symbol
_atom_site_fract_x
_atom_site_fract_y
_atom_site_fract_z
Li1 Li 0.0000 0.0000 0.0000
Be1 Be 0.0000 0.5000 0.2500
```

E above lowest polymorph: 1.85 eV/f.u.
energy of formation: 0.7970 eV per atom
total moment: 0.000 μB/cell
mass density: 1.1 g cm⁻³

---

LiMgBe2 | meta-GGA SCAN | PBEsol geometry

The structure in CIF format:
```
data_LiMgBe2
_chemical_formula_sum 'Li4 Mg4 Be8'
_symmetry_space_group_name_H-M 'I -4 2 d'
_symmetry_Int_Tables_number 122
_symmetry_space_group_name_Hall 'I -4 2bw'
_cell_length_a 6.8124
_cell_length_b 6.8124
_cell_length_c 4.7119
_cell_angle_alpha 90.00
_cell_angle_beta 90.00
_cell_angle_gamma 90.00
loop_
_atom_site_label
_atom_site_type_symbol
_atom_site_fract_x
_atom_site_fract_y
_atom_site_fract_z
Li1 Li 0.0000 0.0000 0.0000
Mg1 Mg 0.0000 0.0000 0.5000
Be1 Be 0.2327 0.7500 0.1250
```

energy of formation: 0.6371 eV per atom
total moment: 0.000 μB/cell
mass density: 1.5 g cm⁻³

---

LiMgBe2 | meta-GGA SCAN | PBEsol geometry

The structure in CIF format:
```
data_LiMgBe2
_chemical_formula_sum 'Li1 Mg1 Be2'
_symmetry_space_group_name_H-M 'P 4/m m m'
_symmetry_Int_Tables_number 123
_symmetry_space_group_name_Hall '-P 4 2'
_cell_length_a 2.9355
_cell_length_b 2.9355
_cell_length_c 5.8517
_cell_angle_alpha 90.00
_cell_angle_beta 90.00
_cell_angle_gamma 90.00
loop_
_atom_site_label
_atom_site_type_symbol
_atom_site_fract_x
_atom_site_fract_y
_atom_site_fract_z
Li1 Li 0.0000 0.0000 0.0000
Mg1 Mg 0.0000 0.0000 0.5000
Be1 Be 0.5000 0.5000 0.2027
```

energy of formation: 0.3271 eV per atom
total moment: 0.000 μB/cell
mass density: 1.6 g cm⁻³

---

LiMgBe2 | meta-GGA SCAN | PBEsol geometry

The structure in CIF format:
```
data_LiMgBe2
_chemical_formula_sum 'Li2 Mg2 Be4'
_symmetry_space_group_name_H-M 'A m m 2'
_symmetry_Int_Tables_number 38
_symmetry_space_group_name_Hall 'A 2 -2'
_cell_length_a 3.9020
_cell_length_b 2.7422
_cell_length_c 9.9099
_cell_angle_alpha 90.00
_cell_angle_beta 90.00
_cell_angle_gamma 90.00
loop_
_atom_site_label
_atom_site_type_symbol
_atom_site_fract_x
_atom_site_fract_y
_atom_site_fract_z
Li1 Li 0.0000 0.0000 0.0000
Mg1 Mg 0.5000 0.0000 0.6696
Be1 Be 0.0000 0.0000 0.2926
Be2 Be 0.5000 0.0000 0.3950
```

energy of formation: 0.2608 eV per atom
total moment: 0.009 μB/cell
mass density: 1.5 g cm⁻³

---

LiMgBe2 | meta-GGA SCAN | PBEsol geometry

The structure in CIF format:
```
data_LiMgBe2
_chemical_formula_sum 'Li1 Mg1 Be2'
_symmetry_space_group_name_H-M 'P 1 2/m 1'
_symmetry_Int_Tables_number 10
_symmetry_space_group_name_Hall '-P 2y'
_cell_length_a 2.5469
_cell_length_b 4.1013
_cell_length_c 4.9895
_cell_angle_alpha 90.00
_cell_angle_beta 102.86
_cell_angle_gamma 90.00
loop_
_atom_site_label
_atom_site_type_symbol
_atom_site_fract_x
_atom_site_fract_y
_atom_site_fract_z
Li1 Li 0.0000 0.0000 0.0000
Mg1 Mg 0.5000 0.0000 0.5000
Be1 Be 0.1933 0.5000 0.7936
```

energy of formation: 0.3472 eV per atom
total moment: 0.009 μB/cell
mass density: 1.6 g cm⁻³

---

LiMn2Be | meta-GGA SCAN | PBEsol geometry

The structure in CIF format:
```
data_LiMn2Be
_chemical_formula_sum 'Li4 Mn8 Be4'
_symmetry_space_group_name_H-M 'I -4 2 d'
_symmetry_Int_Tables_number 122
_symmetry_space_group_name_Hall 'I -4 2bw'
_cell_length_a 3.1780
_cell_length_b 3.1780
_cell_length_c 16.6931
_cell_angle_alpha 90.00
_cell_angle_beta 90.00
_cell_angle_gamma 90.00
loop_
_atom_site_label
_atom_site_type_symbol
_atom_site_fract_x
_atom_site_fract_y
_atom_site_fract_z
Li1 Li 0.0000 0.0000 0.0000
Mn1 Mn 0.2387 0.7500 0.6250
Be1 Be 0.0000 0.0000 0.5000
```

energy of formation: 0.6493 eV per atom
total moment: 0.000 μB/cell
mass density: 5.0 g cm⁻³

---

LiMn2Be | meta-GGA SCAN | PBEsol geometry

The structure in CIF format:
```
data_LiMn2Be
_chemical_formula_sum 'Li2 Mn4 Be2'
_symmetry_space_group_name_H-M 'C 1 2/m 1'
_symmetry_Int_Tables_number 12
_symmetry_space_group_name_Hall '-C 2y'
_cell_length_a 4.5483
_cell_length_b 7.8683
_cell_length_c 2.2688
_cell_angle_alpha 90.00
_cell_angle_beta 103.71
_cell_angle_gamma 90.00
loop_
_atom_site_label
_atom_site_type_symbol
_atom_site_fract_x
_atom_site_fract_y
_atom_site_fract_z
Li1 Li 0.0000 0.0000 0.0000
Mn1 Mn 0.2500 0.2500 0.5000
Be1 Be 0.0000 0.5000 0.0000
```

energy of formation: 0.3001 eV per atom
total moment: 2.642 μB/cell
mass density: 5.3 g cm⁻³

---

LiMn2Be | meta-GGA SCAN | PBEsol geometry

The structure in CIF format:
```
data_LiMn2Be
_chemical_formula_sum 'Li1 Mn2 Be1'
_symmetry_space_group_name_H-M 'P 4/m m m'
_symmetry_Int_Tables_number 123
_symmetry_space_group_name_Hall '-P 4 2'
_cell_length_a 2.2597
_cell_length_b 2.2597
_cell_length_c 7.9330
_cell_angle_alpha 90.00
_cell_angle_beta 90.00
_cell_angle_gamma 90.00
loop_
_atom_site_label
_atom_site_type_symbol
_atom_site_fract_x
_atom_site_fract_y
_atom_site_fract_z
Li1 Li 0.0000 0.0000 0.0000
Mn1 Mn 0.5000 0.5000 0.2770
Be1 Be 0.0000 0.0000 0.5000
```

energy of formation: 0.2635 eV per atom
total moment: 0.001 μB/cell
mass density: 5.2 g cm⁻³

---

LiMn3Be | meta-GGA SCAN | PBEsol geometry

The structure in CIF format:
```
data_LiMn3Be
_chemical_formula_sum 'Li1 Mn3 Be1'
_symmetry_space_group_name_H-M 'P m -3 m'
_symmetry_Int_Tables_number 221
_symmetry_space_group_name_Hall '-P 4 2 3'
_cell_length_a 4.1601
_cell_length_b 4.1601
_cell_length_c 4.1601
_cell_angle_alpha 90.00
_cell_angle_beta 90.00
_cell_angle_gamma 90.00
loop_
_atom_site_label
_atom_site_type_symbol
_atom_site_fract_x
_atom_site_fract_y
_atom_site_fract_z
Li1 Li 0.0000 0.0000 0.0000
Mn1 Mn 0.0000 0.5000 0.5000
Be1 Be 0.5000 0.5000 0.5000
```

energy of formation: 0.4008 eV per atom
total moment: 11.037 μB/cell
mass density: 4.2 g cm⁻³

---

LiMnBe2Pb | meta-GGA SCAN | PBEsol geometry

The structure in CIF format:
```
data_LiMnBe2Pb
_chemical_formula_sum 'Li1 Mn1 Be2 Pb1'
_symmetry_space_group_name_H-M 'P 4/m m m'
_symmetry_Int_Tables_number 123
_symmetry_space_group_name_Hall '-P 4 2'
_cell_length_a 4.5996
_cell_length_b 4.5996
_cell_length_c 5.0832
_cell_angle_alpha 90.00
_cell_angle_beta 90.00
_cell_angle_gamma 90.00
loop_
_atom_site_label
_atom_site_type_symbol
_atom_site_fract_x
_atom_site_fract_y
_atom_site_fract_z
Li1 Li 0.0000 0.0000 0.0000
Mn1 Mn 0.5000 0.5000 0.0000
Be1 Be 0.0000 0.5000 0.5000
Pb1 Pb 0.5000 0.5000 0.5000
```

energy of formation: 0.9586 eV per atom
total moment: 3.432 μB/cell
mass density: 4.4 g cm⁻³

---

LiBe2Mo | meta-GGA SCAN | PBEsol geometry

The structure in CIF format:
```
data_LiBe2Mo
_chemical_formula_sum 'Li2 Be4 Mo2'
_symmetry_space_group_name_H-M 'C 1 m 1'
_symmetry_Int_Tables_number 8
_symmetry_space_group_name_Hall 'C -2y'
_cell_length_a 9.1091
_cell_length_b 2.3789
_cell_length_c 4.4283
_cell_angle_alpha 90.00
_cell_angle_beta 107.50
_cell_angle_gamma 90.00
loop_
_atom_site_label
_atom_site_type_symbol
_atom_site_fract_x
_atom_site_fract_y
_atom_site_fract_z
Li1 Li 0.0000 0.0000 0.0000
Be1 Be 0.0465 0.5000 0.5186
Be2 Be 0.2452 0.0000 0.8526
Mo1 Mo 0.2951 0.5000 0.3809
```

E above lowest polymorph: 0.00 eV/f.u.
energy of formation: 0.1601 eV per atom
total moment: 0.000 μB/cell
mass density: 4.4 g cm⁻³

---

LiBe2Mo | meta-GGA SCAN | PBEsol geometry

The structure in CIF format:
```
data_LiBe2Mo
_chemical_formula_sum 'Li2 Be4 Mo2'
_symmetry_space_group_name_H-M 'I m m 2'
_symmetry_Int_Tables_number 44
_symmetry_space_group_name_Hall 'I 2 -2'
_cell_length_a 2.4080
_cell_length_b 4.3115
_cell_length_c 8.6983
_cell_angle_alpha 90.00
_cell_angle_beta 90.00
_cell_angle_gamma 90.00
loop_
_atom_site_label
_atom_site_type_symbol
_atom_site_fract_x
_atom_site_fract_y
_atom_site_fract_z
Li1 Li 0.0000 0.0000 0.0000
Be1 Be 0.0000 0.0000 0.5469
Be2 Be 0.0000 0.5000 0.2578
Mo1 Mo 0.0000 0.5000 0.7904
```

E above lowest polymorph: 0.17 eV/f.u.
energy of formation: 0.2033 eV per atom
total moment: 0.022 μB/cell
mass density: 4.4 g cm⁻³

---

Li2BeMoS | meta-GGA SCAN | PBEsol geometry

The structure in CIF format:
```
data_Li2BeMoS
_chemical_formula_sum 'Li2 Be1 Mo1 S1'
_symmetry_space_group_name_H-M 'P 4/m m m'
_symmetry_Int_Tables_number 123
_symmetry_space_group_name_Hall '-P 4 2'
_cell_length_a 3.9860
_cell_length_b 3.9860
_cell_length_c 4.2917
_cell_angle_alpha 90.00
_cell_angle_beta 90.00
_cell_angle_gamma 90.00
loop_
_atom_site_label
_atom_site_type_symbol
_atom_site_fract_x
_atom_site_fract_y
_atom_site_fract_z
Li1 Li 0.0000 0.5000 0.0000
Be1 Be 0.0000 0.0000 0.0000
Mo1 Mo 0.0000 0.0000 0.5000
S1 S 0.5000 0.5000 0.5000
```

raw formation energy: 0.54 eV/atom
total moment: 1.041 μB/cell
mass density: 3.7 g cm⁻³

---

LiBeN3 | meta-GGA SCAN | PBEsol geometry

The structure in CIF format:
```
data_LiBeN3
_chemical_formula_sum 'Li1 Be1 N3'
_symmetry_space_group_name_H-M 'P m -3 m'
_symmetry_Int_Tables_number 221
_symmetry_space_group_name_Hall '-P 4 2 3'
_cell_length_a 3.4381
_cell_length_b 3.4381
_cell_length_c 3.4381
_cell_angle_alpha 90.00
_cell_angle_beta 90.00
_cell_angle_gamma 90.00
loop_
_atom_site_label
_atom_site_type_symbol
_atom_site_fract_x
_atom_site_fract_y
_atom_site_fract_z
Li1 Li 0.0000 0.0000 0.0000
Be1 Be 0.5000 0.5000 0.5000
N1 N 0.0000 0.5000 0.5000
```

raw formation energy: 1.25 eV/atom
total moment: 0.006 μB/cell
mass density: 2.4 g cm⁻³

---

LiBeN3 | meta-GGA SCAN | PBEsol geometry

The structure in CIF format:
```
data_LiBeN3
_chemical_formula_sum 'Li1 Be1 N3'
_symmetry_space_group_name_H-M 'P m -3 m'
_symmetry_Int_Tables_number 221
_symmetry_space_group_name_Hall '-P 4 2 3'
_cell_length_a 3.4462
_cell_length_b 3.4462
_cell_length_c 3.4462
_cell_angle_alpha 90.00
_cell_angle_beta 90.00
_cell_angle_gamma 90.00
loop_
_atom_site_label
_atom_site_type_symbol
_atom_site_fract_x
_atom_site_fract_y
_atom_site_fract_z
Li1 Li 0.0000 0.0000 0.0000
Be1 Be 0.5000 0.5000 0.5000
N1 N 0.0000 0.0000 0.5000
```

raw formation energy: 2.25 eV/atom
total moment: 0.400 μB/cell
mass density: 2.4 g cm⁻³

---

Respective energy values: -3.980, -3.496, -2.684, -2.844, -3.520, -2.902, -3.381, -3.691, -3.757, -3.670, -10.164, -10.513, -10.550, -11.901, -20.068, -11.335, -11.292, -10.191, -5.674, -4.675 eV/atom.